# Rb2NpAs2O6

Crystalline Rb2NpAs2O6 at its relaxed geometry (PBE-GGA, Alexandria).

Properties
- Size of the total moment: 0.09 μB/atom
- Calculated density: 5.335 g/cm3
- Uncorrected formation energy: -1.773 eV/atom

a = 10.1533 Å, b = 6.9624 Å, c = 6.3868 Å
α = 90.00°, β = 115.66°, γ = 90.00°
Space group C2/m (No. 12)
Inequivalent atoms, fractional coordinates:
Rb: 0.2134 0.0000 0.1474 x4
Np: 0.0000 0.0000 0.5000 x2
As: 0.0622 0.5000 0.2433 x4
O: 0.0170 0.2004 0.2856 x8
O: 0.2459 0.5000 0.2852 x4